Compound: PrZn6Ni12
Source: Alexandria
Functional: PBE-GGA
Structure: optimized geometry

Calculated values
space-group type: R-3m
D(E_F): 19.049 states/eV/f.u.
V: 260.4 Å³/cell
magnetization: 0.00 μB per atom
energy of formation from the pure elements: 13 meV per atom
raw total energy: -4.292 eV/atom

a = 6.6481 Å, b = 6.6481 Å, c = 6.6481 Å
α = 104.34°, β = 104.34°, γ = 104.34°
Closest atoms and distances in Å follow each position.
Fractional positions:
Pr (0.0000, 0.0000, 0.0000)  6 Ni 2.88
Zn (0.2860, 0.2860, 0.7081)  8 Ni 2.35-2.61
Zn (0.2860, 0.7081, 0.2860)  8 Ni 2.35-2.61
Zn (0.2919, 0.7140, 0.7140)  8 Ni 2.35-2.61
Zn (0.7081, 0.2860, 0.2860)  8 Ni 2.35-2.61
Zn (0.7140, 0.2919, 0.7140)  8 Ni 2.35-2.61
Zn (0.7140, 0.7140, 0.2919)  8 Ni 2.35-2.61
Ni (0.1101, 0.5000, 0.8899)  3 Ni 2.31-2.53, 4 Zn 2.35-2.47
Ni (0.1101, 0.8899, 0.5000)  3 Ni 2.31-2.53, 4 Zn 2.35-2.47
Ni (0.1330, 0.3825, 0.3825)  4 Zn 2.46-2.61, 4 Ni 2.53-2.62
Ni (0.3825, 0.1330, 0.3825)  4 Zn 2.46-2.61, 4 Ni 2.53-2.62
Ni (0.3825, 0.3825, 0.1330)  4 Zn 2.46-2.61, 4 Ni 2.53-2.62
Ni (0.5000, 0.1101, 0.8899)  3 Ni 2.31-2.53, 4 Zn 2.35-2.47
Ni (0.5000, 0.8899, 0.1101)  3 Ni 2.31-2.53, 4 Zn 2.35-2.47
Ni (0.6175, 0.6175, 0.8670)  4 Zn 2.46-2.61, 4 Ni 2.53-2.62
Ni (0.6175, 0.8670, 0.6175)  4 Zn 2.46-2.61, 4 Ni 2.53-2.62
Ni (0.8670, 0.6175, 0.6175)  4 Zn 2.46-2.61, 4 Ni 2.53-2.62
Ni (0.8899, 0.1101, 0.5000)  3 Ni 2.31-2.53, 4 Zn 2.35-2.47
Ni (0.8899, 0.5000, 0.1101)  3 Ni 2.31-2.53, 4 Zn 2.35-2.47